# 1
The following is a PBE calculation of a relaxed structure of LiIn3S6, from Alexandria via LeMat-Bulk.

## Properties
calculated total energy: -4.06 eV per atom
raw formation energy: -0.571 eV/atom

Structure (CIF):
```
data_LiIn3S6
_chemical_formula_sum 'Li2 In6 S12'
_symmetry_space_group_name_H-M 'P 1 21/c 1'
_symmetry_Int_Tables_number 14
_symmetry_space_group_name_Hall '-P 2ybc'
_cell_length_a 7.421
_cell_length_b 6.423
_cell_length_c 11.789
_cell_angle_alpha 90.00
_cell_angle_beta 124.82
_cell_angle_gamma 90.00
loop_
_atom_site_label
_atom_site_fract_x
_atom_site_fract_y
_atom_site_fract_z
_atom_site_occupancy
Li1 0.000 0.000 0.000 1
In1 0.116 0.033 0.693 1
In2 0.500 0.000 0.500 1
S1 0.155 0.082 0.251 1
S2 0.231 0.651 0.058 1
S3 0.497 0.589 0.425 1
```


# 2
The following is a PBE calculation of a relaxed structure of Li2InS, from Alexandria via LeMat-Bulk.

## Properties
calculated total energy: -3.15 eV per atom
raw formation energy: -0.481 eV/atom
N(E_F): 0.03 states/eV per atom

Structure (CIF):
```
data_Li2InS
_chemical_formula_sum 'Li8 In4 S4'
_symmetry_space_group_name_H-M 'I -4 2 d'
_symmetry_Int_Tables_number 122
_symmetry_space_group_name_Hall 'I -4 2bw'
_cell_length_a 4.640
_cell_length_b 4.640
_cell_length_c 15.836
_cell_angle_alpha 90.00
_cell_angle_beta 90.00
_cell_angle_gamma 90.00
loop_
_atom_site_label
_atom_site_fract_x
_atom_site_fract_y
_atom_site_fract_z
_atom_site_occupancy
Li1 0.148 0.250 0.125 1
In1 0.000 0.000 0.500 1
S1 0.000 0.000 0.000 1
```


# 3
The following is a PBE calculation of a relaxed structure of LiInS, from Alexandria via LeMat-Bulk.

## Properties
calculated total energy: -3.70 eV per atom
raw formation energy: -0.775 eV/atom
N(E_F): 0.00 states/eV per atom
energy relative to the lowest polymorph listed for this composition: 5 meV/atom

Structure (CIF):
```
data_LiInS
_chemical_formula_sum 'Li6 In6 S6'
_symmetry_space_group_name_H-M 'R -3 m'
_symmetry_Int_Tables_number 166
_symmetry_space_group_name_Hall '-R 3 2"'
_cell_length_a 4.0297
_cell_length_b 4.0297
_cell_length_c 28.6836
_cell_angle_alpha 90.00
_cell_angle_beta 90.00
_cell_angle_gamma 120.00
loop_
_atom_site_label
_atom_site_fract_x
_atom_site_fract_y
_atom_site_fract_z
_atom_site_occupancy
Li1 0.0000 0.0000 0.1369 1
In1 0.0000 0.0000 0.3816 1
S1 0.0000 0.0000 0.2239 1
```


# 4
The following is a PBE calculation of a relaxed structure of LiInS, from Alexandria via LeMat-Bulk.

## Properties
calculated total energy: -3.67 eV per atom
raw formation energy: -0.741 eV/atom
N(E_F): 0.18 states/eV per atom
energy relative to the lowest polymorph listed for this composition: 38 meV/atom

Structure (CIF):
```
data_LiInS
_chemical_formula_sum 'Li2 In2 S2'
_symmetry_space_group_name_H-M 'P -1'
_symmetry_Int_Tables_number 2
_symmetry_space_group_name_Hall '-P 1'
_cell_length_a 3.686
_cell_length_b 4.268
_cell_length_c 8.807
_cell_angle_alpha 89.24
_cell_angle_beta 88.37
_cell_angle_gamma 70.96
loop_
_atom_site_label
_atom_site_fract_x
_atom_site_fract_y
_atom_site_fract_z
_atom_site_occupancy
Li1 0.156 0.211 0.105 1
In1 0.316 0.781 0.400 1
S1 0.179 0.199 0.822 1
```